1.
{"formula": "Rb2AlF6", "functional": "PBE", "state": "optimized geometry", "lattice": [[6.138, 0.000, 0.000], [3.069, 5.316, 0.000], [3.069, 1.772, 5.012]], "species": ["F", "Rb", "F", "F", "F", "F", "F", "Al", "Rb"], "fractional_positions": [[0.791, 0.209, 0.209], [0.250, 0.250, 0.250], [0.791, 0.791, 0.209], [0.791, 0.209, 0.791], [0.209, 0.791, 0.791], [0.209, 0.791, 0.209], [0.209, 0.209, 0.791], [0.000, 0.000, 0.000], [0.750, 0.750, 0.750]], "magnetic_moment_mub_per_cell": 1.0, "energy_ev_per_cell": -42.7}


2.
{"formula": "SrInOs2", "functional": "PBE", "state": "optimized geometry", "lattice": [[-1.926, 2.752, 4.077], [-3.761, -2.789, 2.446], [4.935, -1.209, -1.444]], "species": ["Os", "Sr", "Os", "In"], "fractional_positions": [[0.000, 0.000, 0.000], [0.250, 0.750, 0.500], [0.500, 0.500, 0.000], [0.750, 0.250, 0.500]], "magnetic_moment_mub_per_cell": 1.7, "formation_energy_ev_per_fu": 4.14, "energy_ev_per_cell": -22.7}